(1)
First-principles (GGA-PBE) data for a relaxed structure of ScGa4Rh2, as listed in the Alexandria database.

## Properties
Energy of formation, eV per atom: -0.6836
Symmetry: Pnma, No. 62
Total magnetization, μB/cell: 0.0
Fermi-level density of states, states/eV per cell: 10.52
E_tot, eV for the cell shown: -151.707

a b c (Å): 4.0693 6.7395 16.3828
angles (deg): 90.00 90.00 90.00
Positions (direct):
Rh 0.7500 0.8893 0.1939
Rh 0.2500 0.7611 0.5595
Rh 0.7500 0.6107 0.6939
Rh 0.2500 0.7389 0.0595
Rh 0.2500 0.3893 0.3061
Rh 0.7500 0.2611 0.9405
Rh 0.2500 0.1107 0.8061
Rh 0.7500 0.2389 0.4405
Sc 0.7500 0.4268 0.1426
Sc 0.2500 0.5732 0.8574
Sc 0.7500 0.0732 0.6426
Sc 0.2500 0.9268 0.3574
Ga 0.2500 0.3623 0.0253
Ga 0.2500 0.9906 0.9457
Ga 0.7500 0.6377 0.9747
Ga 0.7500 0.3262 0.7913
Ga 0.2500 0.3712 0.6758
Ga 0.2500 0.8262 0.7087
Ga 0.7500 0.8712 0.8242
Ga 0.7500 0.1738 0.2913
Ga 0.7500 0.0094 0.0543
Ga 0.7500 0.6288 0.3242
Ga 0.7500 0.8623 0.4747
Ga 0.7500 0.4906 0.5543
Ga 0.2500 0.5094 0.4457
Ga 0.2500 0.1377 0.5253
Ga 0.2500 0.6738 0.2087
Ga 0.2500 0.1288 0.1758

(2)
First-principles (GGA-PBE) data for a relaxed structure of ScGa3Rh2, as listed in the Alexandria database.

## Properties
Energy of formation, eV per atom: -0.6193
Symmetry: C2/m, No. 12
Total magnetization, μB/cell: 0.0
Fermi-level density of states, states/eV per cell: 5.36
E_tot, eV for the cell shown: -67.662

a b c (Å): 3.9136 8.5374 7.9861
angles (deg): 127.55 104.18 90.00
Positions (direct):
Sc 0.1263 0.1767 0.2526
Sc 0.8737 0.8233 0.7474
Ga 0.6859 0.8614 0.3718
Ga 0.6556 0.4559 0.3112
Ga 0.9861 0.3334 0.9723
Ga 0.0139 0.6666 0.0277
Ga 0.3141 0.1386 0.6282
Ga 0.3444 0.5441 0.6888
Rh 0.4657 0.1163 0.9313
Rh 0.7840 0.2959 0.5681
Rh 0.2160 0.7041 0.4319
Rh 0.5343 0.8837 0.0687

(3)
First-principles (GGA-PBE) data for a relaxed structure of Sc3Ga9Rh2, as listed in the Alexandria database.

## Properties
Energy of formation, eV per atom: -0.6098
Symmetry: Immm, No. 71
Total magnetization, μB/cell: 0.0
Fermi-level density of states, states/eV per cell: 4.61
E_tot, eV for the cell shown: -69.477

a b c (Å): 4.1593 7.9071 7.9071
angles (deg): 73.08 74.75 74.75
Positions (direct):
Sc 0.2956 0.7044 0.7044
Sc 0.7044 0.2956 0.2956
Sc 0.0000 0.0000 0.0000
Ga 0.8620 0.8528 0.4232
Ga 0.1380 0.5768 0.1472
Ga 0.3499 0.0177 0.2825
Ga 0.3499 0.2825 0.0177
Ga 0.6501 0.7175 0.9823
Ga 0.8620 0.4232 0.8528
Ga 0.6501 0.9823 0.7175
Ga 0.0000 0.5000 0.5000
Ga 0.1380 0.1472 0.5768
Rh 0.5000 0.6694 0.3306
Rh 0.5000 0.3306 0.6694

(4)
First-principles (GGA-PBE) data for a relaxed structure of Sc2Ga6Rh, as listed in the Alexandria database.

## Properties
Energy of formation, eV per atom: -0.5266
Symmetry: C2/m, No. 12
Total magnetization, μB/cell: 0.0
Fermi-level density of states, states/eV per cell: 4.01
E_tot, eV for the cell shown: -42.915

a b c (Å): 5.7025 5.8033 5.8033
angles (deg): 56.26 98.18 98.18
Positions (direct):
Sc 0.8551 0.6453 0.6453
Sc 0.1449 0.3547 0.3547
Ga 0.3345 0.8523 0.3755
Ga 0.7216 0.1634 0.1634
Ga 0.6655 0.1477 0.6245
Ga 0.3345 0.3755 0.8523
Ga 0.6655 0.6245 0.1477
Ga 0.2784 0.8366 0.8366
Rh 0.0000 0.0000 0.0000

(5)
First-principles (GGA-PBE) data for a relaxed structure of Sc2Ga5Rh, as listed in the Alexandria database.

## Properties
Energy of formation, eV per atom: -0.5786
Symmetry: Fmmm, No. 69
Total magnetization, μB/cell: 0.0
Fermi-level density of states, states/eV per cell: 4.17
E_tot, eV for the cell shown: -39.778

a b c (Å): 5.7603 5.7443 5.7442
angles (deg): 89.15 120.40 120.40
Positions (direct):
Ga 0.5000 0.7778 0.7778
Ga 0.0000 0.2777 0.7778
Ga 0.0000 0.7778 0.2777
Ga 0.5000 0.2777 0.2777
Ga 0.0000 0.2778 0.2778
Sc 0.5000 0.2777 0.7777
Sc 0.5000 0.7777 0.2777
Rh 0.0000 0.7778 0.7778

(6)
First-principles (GGA-PBE) data for a relaxed structure of Sc2Ga5Rh3, as listed in the Alexandria database.

## Properties
Excess energy over the best structure of this formula in the dataset, eV/atom: 0.000
Energy of formation, eV per atom: -0.7079
Symmetry: Cmc2_1, No. 36
Total magnetization, μB/cell: 0.0
Fermi-level density of states, states/eV per cell: 9.88
E_tot, eV for the cell shown: -113.862

a b c (Å): 4.2158 6.6379 12.1776
angles (deg): 90.00 99.97 90.00
Positions (direct):
Ga 0.3998 0.4172 0.7996
Ga 0.1239 0.2695 0.2477
Ga 0.8761 0.7695 0.7523
Ga 0.7049 0.3853 0.4099
Ga 0.7085 0.9780 0.4170
Ga 0.0524 0.6175 0.1048
Ga 0.9476 0.1175 0.8952
Ga 0.2951 0.8853 0.5901
Ga 0.2915 0.4780 0.5830
Ga 0.6002 0.9172 0.2004
Rh 0.0471 0.0040 0.0942
Rh 0.9529 0.5040 0.9058
Rh 0.2273 0.1783 0.4545
Rh 0.6080 0.5327 0.2159
Rh 0.7727 0.6783 0.5455
Rh 0.3920 0.0327 0.7841
Sc 0.4780 0.7875 0.9560
Sc 0.1774 0.6948 0.3549
Sc 0.8226 0.1948 0.6451
Sc 0.5220 0.2875 0.0440

(7)
First-principles (GGA-PBE) data for a relaxed structure of ScGaRh4, as listed in the Alexandria database.

## Properties
Energy of formation, eV per atom: -0.1258
Symmetry: P4/mmm, No. 123
Total magnetization, μB/cell: 0.0
Fermi-level density of states, states/eV per cell: 9.03
E_tot, eV for the cell shown: -39.519

a b c (Å): 4.1070 4.1125 6.1031
angles (deg): 89.95 89.97 89.99
Positions (direct):
Rh 0.0011 0.4974 0.2610
Rh 0.5012 0.9976 0.7357
Rh 0.5015 0.9972 0.2605
Rh 0.0014 0.4969 0.7353
Ga 0.0014 0.9971 0.4982
Sc 0.5012 0.4974 0.9981

(8)
First-principles (GGA-PBE) data for a relaxed structure of Sc2Ga5Rh3, as listed in the Alexandria database.

## Properties
Excess energy over the best structure of this formula in the dataset, eV/atom: 0.089
Energy of formation, eV per atom: -0.6185
Symmetry: Ibam, No. 72
Total magnetization, μB/cell: 0.0
Fermi-level density of states, states/eV per cell: 11.78
E_tot, eV for the cell shown: -112.074

a b c (Å): 5.5537 8.3532 8.3532
angles (deg): 87.05 70.58 70.58
Positions (direct):
Ga 0.5000 0.7500 0.7500
Ga 0.0000 0.7500 0.7500
Ga 0.8863 0.9703 0.2570
Ga 0.3863 0.2570 0.9703
Ga 0.2500 0.5000 0.5000
Ga 0.5000 0.2500 0.2500
Ga 0.6137 0.7430 0.0297
Ga 0.1137 0.0297 0.7430
Ga 0.0000 0.2500 0.2500
Ga 0.7500 0.5000 0.5000
Rh 0.6137 0.5324 0.2401
Rh 0.8863 0.7599 0.4676
Rh 0.1137 0.2401 0.5324
Rh 0.3863 0.4676 0.7599
Rh 0.7500 0.0000 0.0000
Rh 0.2500 0.0000 0.0000
Sc 0.8617 0.3725 0.9041
Sc 0.6383 0.0959 0.6275
Sc 0.1383 0.6275 0.0959
Sc 0.3617 0.9041 0.3725

(9)
First-principles (GGA-PBE) data for a relaxed structure of Sc2GaRh, as listed in the Alexandria database.

## Properties
Energy of formation, eV per atom: -0.3354
Symmetry: I-42d, No. 122
Total magnetization, μB/cell: 0.0
Fermi-level density of states, states/eV per cell: 1.23
E_tot, eV for the cell shown: -48.766

a b c (Å): 7.4424 7.4424 5.9687
angles (deg): 51.43 51.43 90.00
Positions (direct):
Ga 0.2500 0.7500 0.5000
Ga 0.5000 0.5000 0.0000
Sc 0.3750 0.3361 0.7500
Sc 0.8750 0.9139 0.7500
Sc 0.0861 0.6250 0.2500
Sc 0.6639 0.1250 0.2500
Rh 0.0000 0.0000 0.0000
Rh 0.7500 0.2500 0.5000

(10)
First-principles (GGA-PBE) data for a relaxed structure of Sc3GaRh4, as listed in the Alexandria database.

## Properties
Energy of formation, eV per atom: -0.9885
Symmetry: R-3m, No. 166
Total magnetization, μB/cell: 0.0
Fermi-level density of states, states/eV per cell: 1.76
E_tot, eV for the cell shown: -59.335

a b c (Å): 4.4856 4.4856 7.7856
angles (deg): 73.26 73.26 60.00
Positions (direct):
Rh 0.8761 0.8761 0.3718
Rh 0.6251 0.6251 0.1247
Rh 0.3749 0.3749 0.8753
Rh 0.1239 0.1239 0.6282
Sc 0.7460 0.7460 0.7619
Sc 0.5000 0.5000 0.5000
Sc 0.2540 0.2540 0.2381
Ga 0.0000 0.0000 0.0000

(11)
First-principles (GGA-PBE) data for a relaxed structure of Sc2GaRh, as listed in the Alexandria database.

## Properties
Energy of formation, eV per atom: -0.2572
Symmetry: Immm, No. 71
Total magnetization, μB/cell: 0.0
Fermi-level density of states, states/eV per cell: 3.89
E_tot, eV for the cell shown: -24.070

a b c (Å): 7.5642 7.5642 7.5642
angles (deg): 38.36 156.29 150.29
Positions (direct):
Rh 0.0000 0.5000 0.5000
Sc 0.0000 0.6747 0.6747
Sc 0.0000 0.3253 0.3253
Ga 0.0000 0.0000 0.0000

(12)
First-principles (GGA-PBE) data for a relaxed structure of Sc4Ga2Rh, as listed in the Alexandria database.

## Properties
Excess energy over the best structure of this formula in the dataset, eV/atom: 0.000
Energy of formation, eV per atom: -0.5537
Symmetry: Cmmm, No. 65
Total magnetization, μB/cell: 0.0
Fermi-level density of states, states/eV per cell: 6.70
E_tot, eV for the cell shown: -42.607

a b c (Å): 4.4148 5.7091 5.7091
angles (deg): 103.58 90.00 90.00
Positions (direct):
Sc 0.5000 0.0000 0.5000
Sc 0.0000 0.7682 0.7682
Sc 0.5000 0.5000 0.0000
Sc 0.0000 0.2318 0.2318
Ga 0.0000 0.2682 0.7318
Ga 0.0000 0.7318 0.2682
Rh 0.5000 0.5000 0.5000

(13)
First-principles (GGA-PBE) data for a relaxed structure of ScGaRh, as listed in the Alexandria database.

## Properties
Energy of formation, eV per atom: -0.6861
Symmetry: F-43m, No. 216
Total magnetization, μB/cell: 0.0
Fermi-level density of states, states/eV per cell: 1.04
E_tot, eV for the cell shown: -18.768

a b c (Å): 4.3383 4.3383 4.3383
angles (deg): 60.00 60.00 60.00
Positions (direct):
Ga 0.0000 0.0000 0.0000
Rh 0.2500 0.2500 0.2500
Sc 0.5000 0.5000 0.5000

(14)
First-principles (GGA-PBE) data for a relaxed structure of ScGaRh, as listed in the Alexandria database.

## Properties
Energy of formation, eV per atom: -0.7878
Symmetry: I4mm, No. 107
Total magnetization, μB/cell: 0.0
Fermi-level density of states, states/eV per cell: 1.63
E_tot, eV for the cell shown: -19.073

a b c (Å): 3.3629 3.3629 5.0071
angles (deg): 109.62 109.62 90.00
Positions (direct):
Ga 0.2953 0.2953 0.5905
Sc 0.6120 0.6120 0.2241
Rh 0.9427 0.9427 0.8854

(15)
First-principles (GGA-PBE) data for a relaxed structure of ScGaRh, as listed in the Alexandria database.

## Properties
Energy of formation, eV per atom: -0.8269
Symmetry: Imma, No. 74
Total magnetization, μB/cell: 0.0
Fermi-level density of states, states/eV per cell: 3.73
E_tot, eV for the cell shown: -38.381

a b c (Å): 5.1590 5.1590 5.1590
angles (deg): 94.38 119.60 115.44
Positions (direct):
Rh 0.0000 0.5000 0.5000
Rh 0.5000 0.0000 0.5000
Ga 0.5000 0.5000 0.5000
Ga 0.0000 0.5000 0.0000
Sc 0.7500 0.8818 0.1318
Sc 0.2500 0.1182 0.8682

(16)
First-principles (GGA-PBE) data for a relaxed structure of Sc4GaRh, as listed in the Alexandria database.

## Properties
Energy of formation, eV per atom: -0.4238
Symmetry: R-3m, No. 166
Total magnetization, μB/cell: 0.0
Fermi-level density of states, states/eV per cell: 5.54
E_tot, eV for the cell shown: -38.247

a b c (Å): 4.5671 4.5706 7.9703
angles (deg): 73.32 73.35 60.03
Positions (direct):
Sc 0.1190 0.1185 0.6434
Sc 0.6293 0.6294 0.1121
Sc 0.3707 0.3706 0.8879
Sc 0.8810 0.8815 0.3566
Rh 0.0000 0.0000 0.0000
Ga 0.5000 0.5000 0.5000

(17)
First-principles (GGA-PBE) data for a relaxed structure of ScGa2Rh3, as listed in the Alexandria database.

## Properties
Energy of formation, eV per atom: -0.8696
Symmetry: Cmmm, No. 65
Total magnetization, μB/cell: 0.0
Fermi-level density of states, states/eV per cell: 1.88
E_tot, eV for the cell shown: -39.658

a b c (Å): 3.2147 4.3026 6.7670
angles (deg): 108.54 90.00 90.00
Positions (direct):
Rh 0.5000 0.5000 0.0000
Rh 0.5000 0.8273 0.6546
Rh 0.5000 0.1727 0.3454
Ga 0.0000 0.3364 0.6728
Ga 0.0000 0.6636 0.3272
Sc 0.0000 0.0000 0.0000

(18)
First-principles (GGA-PBE) data for a relaxed structure of Sc6Ga3Rh, as listed in the Alexandria database.

## Properties
Energy of formation, eV per atom: -0.5716
Symmetry: P2_1/m, No. 11
Total magnetization, μB/cell: 0.0
Fermi-level density of states, states/eV per cell: 17.43
E_tot, eV for the cell shown: -120.275

a b c (Å): 4.7839 8.3253 10.3287
angles (deg): 108.30 90.00 90.00
Positions (direct):
Sc 0.7500 0.5398 0.9128
Sc 0.7500 0.8994 0.1332
Sc 0.7500 0.3333 0.3297
Sc 0.7500 0.8669 0.8347
Sc 0.2500 0.6667 0.6703
Sc 0.7500 0.7627 0.5006
Sc 0.2500 0.8437 0.3140
Sc 0.2500 0.1006 0.8668
Sc 0.2500 0.4602 0.0872
Sc 0.2500 0.2373 0.4994
Sc 0.7500 0.1563 0.6860
Sc 0.2500 0.1331 0.1653
Ga 0.7500 0.6097 0.2118
Ga 0.2500 0.7790 0.9745
Ga 0.7500 0.4790 0.6209
Ga 0.2500 0.5210 0.3791
Ga 0.2500 0.3903 0.7882
Ga 0.7500 0.2210 0.0255
Rh 0.2500 0.9543 0.5951
Rh 0.7500 0.0457 0.4049

(19)
First-principles (GGA-PBE) data for a relaxed structure of Sc2GaSi2Rh5, as listed in the Alexandria database.

## Properties
Symmetry: P4/mbm, No. 127
Total magnetization, μB/cell: 0.0
Fermi-level density of states, states/eV per cell: 8.00
E_tot, eV for the cell shown: -146.045
Uncorrected formation energy, eV per atom: -0.97

a b c (Å): 3.4138 9.4625 9.4625
angles (deg): 90.00 90.00 90.00
Positions (direct):
Rh 0.5000 0.0704 0.7927
Rh 0.5000 0.5000 0.0000
Rh 0.5000 0.5704 0.7073
Rh 0.5000 0.2073 0.0704
Rh 0.5000 0.2927 0.5704
Rh 0.5000 0.9296 0.2073
Rh 0.5000 0.7073 0.4296
Rh 0.5000 0.4296 0.2927
Rh 0.5000 0.7927 0.9296
Rh 0.5000 0.0000 0.5000
Si 0.0000 0.3737 0.1263
Si 0.0000 0.8737 0.3737
Si 0.0000 0.1263 0.6263
Si 0.0000 0.6263 0.8737
Ga 0.0000 0.5000 0.5000
Ga 0.0000 0.0000 0.0000
Sc 0.0000 0.8270 0.6730
Sc 0.0000 0.1730 0.3270
Sc 0.0000 0.6730 0.1730
Sc 0.0000 0.3270 0.8270

(20)
First-principles (GGA-PBE) data for a relaxed structure of Sm2ScGa3Rh4, as listed in the Alexandria database.

## Properties
Energy of formation, eV per atom: -0.8247
Symmetry: P-4m2, No. 115
Total magnetization, μB/cell: 0.0
Fermi-level density of states, states/eV per cell: 5.88
E_tot, eV for the cell shown: -62.503

a b c (Å): 4.2238 4.2238 10.7222
angles (deg): 90.00 90.00 90.00
Positions (direct):
Ga 0.0000 0.5000 0.1217
Ga 0.0000 0.0000 0.5000
Ga 0.5000 0.0000 0.8783
Sc 0.5000 0.5000 0.5000
Sm 0.0000 0.5000 0.7724
Sm 0.5000 0.0000 0.2276
Rh 0.0000 0.0000 0.0000
Rh 0.0000 0.5000 0.3547
Rh 0.5000 0.0000 0.6453
Rh 0.5000 0.5000 0.0000